Entry 1:
VASP calculation (PBE) on LiSmP4O12 after structural relaxation.

Results
Energy, eV for the cell shown: -264.13
SG: C2/c (15)
E_form (uncorrected), eV per atom: -2.4608

Cell: 9.0381 9.0381 9.8377 Å, 122.92 122.92 46.64°
Last column: nearest neighbours and their distance in Å.
Fractional positions:
Li1 0.2047 0.7953 0.7500  4 O 2.00-2.02
Li2 0.7953 0.2047 0.2500  4 O 2.00-2.02
Sm1 0.2950 0.7050 0.2500  8 O 2.35-2.58
Sm2 0.7050 0.2950 0.7500  8 O 2.35-2.58
P1 0.0848 0.1909 0.6148  4 O 1.50-1.61
P2 0.1909 0.0848 0.1148  4 O 1.50-1.61
P3 0.2006 0.5059 0.8035  4 O 1.50-1.62
P4 0.4941 0.7994 0.6965  4 O 1.50-1.62
P5 0.5059 0.2006 0.3035  4 O 1.50-1.62
P6 0.7994 0.4941 0.1965  4 O 1.50-1.62
P7 0.8091 0.9152 0.8852  4 O 1.50-1.61
P8 0.9152 0.8091 0.3852  4 O 1.50-1.61
O1 0.0328 0.2819 0.2308  2 P 1.61-1.62
O2 0.0621 0.0725 0.4295  1 P 1.51
O3 0.0725 0.0621 0.9295  1 P 1.51
O4 0.0999 0.6741 0.3178  1 P 1.50
O5 0.1635 0.3267 0.6498  2 P 1.60-1.61
O6 0.2609 0.4871 0.9712  1 P 1.50
O7 0.2819 0.0328 0.7308  2 P 1.61-1.62
O8 0.3259 0.9001 0.1822  1 P 1.50
O9 0.3267 0.1635 0.1498  2 P 1.60-1.61
O10 0.3376 0.5155 0.7704  1 P 1.50
O11 0.4845 0.6624 0.7296  1 P 1.50
O12 0.4871 0.2609 0.4712  1 P 1.50
O13 0.5129 0.7391 0.5288  1 P 1.50
O14 0.5155 0.3376 0.2704  1 P 1.50
O15 0.6624 0.4845 0.2296  1 P 1.50
O16 0.6733 0.8365 0.8502  2 P 1.60-1.61
O17 0.6741 0.0999 0.8178  1 P 1.50
O18 0.7181 0.9672 0.2692  2 P 1.61-1.62
O19 0.7391 0.5129 0.0288  1 P 1.50
O20 0.8365 0.6733 0.3502  2 P 1.60-1.61
O21 0.9001 0.3259 0.6822  1 P 1.50
O22 0.9275 0.9379 0.0705  1 P 1.51
O23 0.9379 0.9275 0.5705  1 P 1.51
O24 0.9672 0.7181 0.7692  2 P 1.61-1.62

***

Entry 2:
VASP calculation (PBE) on TcSb2Au after structural relaxation.

Results
Excess energy over the best structure of this formula in the dataset, eV per atom: 0.144
Energy, eV for the cell shown: -20.88
SG: Pmm2 (25)
E_form (uncorrected), eV per atom: 0.2510

Cell: 3.4848 4.1642 5.6595 Å, 90.00 90.00 90.00°
Last column: nearest neighbours and their distance in Å.
Fractional positions:
Tc1 0.0000 0.0000 0.0000  6 Sb 2.78-2.88
Sb1 0.0000 0.0000 0.4917  2 Tc 2.78-2.88, 4 Au 2.84
Sb2 0.5000 0.5000 0.8647  2 Au 2.71-2.95, 4 Tc 2.82
Au1 0.5000 0.5000 0.3434  6 Sb 2.71-2.95

***

Entry 3:
VASP calculation (PBE) on Ba2AuSN after structural relaxation.

Results
Energy, eV for the cell shown: -20.61
SG: P4/mmm (123)
E_form (uncorrected), eV per atom: -0.2066

Cell: 5.9478 5.9478 3.9486 Å, 90.00 90.00 90.00°
Last column: nearest neighbours and their distance in Å.
Fractional positions:
Ba1 0.0000 0.5000 0.0000  2 S 2.97
Ba2 0.5000 0.0000 0.0000  2 S 2.97
Au1 0.0000 0.0000 0.5000  8 Ba 3.57, 2 Au 3.95
S1 0.5000 0.5000 0.0000  2 N 1.97
N1 0.5000 0.5000 0.5000  2 S 1.97

***

Entry 4:
VASP calculation (PBE) on BePb3 after structural relaxation.

Results
Excess energy over the best structure of this formula in the dataset, eV per atom: 0.268
Energy, eV for the cell shown: -12.76
SG: I4/mmm (139)
Formation energy from the elements, eV/atom: 0.52

Cell: 5.8896 5.8896 5.8896 Å, 132.42 132.42 69.57°
Last column: nearest neighbours and their distance in Å.
Fractional positions:
Be1 0.0000 0.0000 0.0000  12 Pb 3.36-3.39
Pb1 0.2500 0.7500 0.5000  8 Pb 3.36-3.39, 4 Be 3.39
Pb2 0.5000 0.5000 0.0000  4 Be 3.36, 8 Pb 3.39
Pb3 0.7500 0.2500 0.5000  8 Pb 3.36-3.39, 4 Be 3.39

***

Entry 5:
VASP calculation (PBE) on BaTaSeBr2 after structural relaxation.

Results
Excess energy over the best structure of this formula in the dataset, eV per atom: 1.289
Energy, eV for the cell shown: -18.05
SG: P4/mmm (123)
E_form (uncorrected), eV per atom: 0.5119

Cell: 6.0260 6.0260 6.4005 Å, 90.00 90.00 90.00°
Last column: nearest neighbours and their distance in Å.
Fractional positions:
Ba1 0.0000 0.0000 0.0000  4 Br 3.01, 2 Se 3.20
Ta1 0.5000 0.5000 0.5000  4 Se 4.26, 8 Br 4.40
Se1 0.0000 0.0000 0.5000  2 Ba 3.20
Br1 0.0000 0.5000 0.0000  2 Ba 3.01
Br2 0.5000 0.0000 0.0000  2 Ba 3.01

***

Entry 6:
VASP calculation (PBE) on TcGePd3 after structural relaxation.

Results
Excess energy over the best structure of this formula in the dataset, eV per atom: 0.000
Energy, eV for the cell shown: -27.13
SG: Pm-3m (221)
Formation energy from the elements, eV/atom: 0.69

Cell: 4.6121 4.6121 4.6121 Å, 90.00 90.00 90.00°
Last column: nearest neighbours and their distance in Å.
Fractional positions:
Tc1 0.0000 0.0000 0.0000  12 Pd 3.26
Ge1 0.5000 0.5000 0.5000  6 Pd 2.31
Pd1 0.0000 0.5000 0.5000  2 Ge 2.31
Pd2 0.5000 0.0000 0.5000  2 Ge 2.31
Pd3 0.5000 0.5000 0.0000  2 Ge 2.31